Record 1
The following is a DFT calculation (GGA-PBEsol) of a relaxed structure of KSiRu.

Lattice parameters (Å, degrees): 4.3607 4.3607 4.3607 60.00 60.00 60.00
Atoms (fractional coordinates):
1 K 0.5000 0.5000 0.5000
2 Ru 0.2500 0.2500 0.2500
3 Si 0.0000 0.0000 0.0000

Summary:
- uncorrected formation energy (eV/atom) = 0.9775
- N(E_F) (states/eV/f.u.) = 2.26
- final energy (eV per atom) = -4.707

Record 2
The following is a DFT calculation (GGA-PBEsol) of a relaxed structure of K2SiRuW.

Lattice parameters (Å, degrees): 4.4413 6.2592 6.2592 90.00 90.00 90.00
Atoms (fractional coordinates):
1 Ru 0.5000 0.0000 0.0000
2 K 0.0000 0.0000 0.5000
3 K 0.0000 0.5000 0.0000
4 Si 0.5000 0.5000 0.5000
5 W 0.0000 0.0000 0.0000

Summary:
- uncorrected formation energy (eV/atom) = 2.0062
- N(E_F) (states/eV/f.u.) = 5.23
- final energy (eV per atom) = -4.392

Record 3
The following is a DFT calculation (GGA-PBEsol) of a relaxed structure of KSnRu3.

Lattice parameters (Å, degrees): 4.9417 4.9417 4.9417 90.00 90.00 90.00
Atoms (fractional coordinates):
1 Ru 0.0000 0.5000 0.0000
2 Ru 0.0000 0.0000 0.5000
3 Ru 0.5000 0.0000 0.0000
4 K 0.5000 0.5000 0.5000
5 Sn 0.0000 0.0000 0.0000

Summary:
- N(E_F) (states/eV/f.u.) = 6.33
- final energy (eV per atom) = -5.357
- E_form (eV/atom) = 1.825